Arrangement A

The following is a DFT calculation (PBE-GGA) of a relaxed structure of KCr2Os.

Geometry as CIF:
```
data_KCr2Os
_chemical_formula_sum 'K2 Cr4 Os2'
_cell_length_a 3.023
_cell_length_b 5.761
_cell_length_c 10.135
_cell_angle_alpha 90.00
_cell_angle_beta 90.00
_cell_angle_gamma 90.00
_space_group_name_H-M_alt 'I m m m'
_space_group_IT_number 71
_space_group_name_Hall '-I 2 2'
loop_
_atom_site_label
_atom_site_type_symbol
_atom_site_fract_x
_atom_site_fract_y
_atom_site_fract_z
_atom_site_occupancy
K1 K 0.000 0.000 0.000 1
Cr1 Cr 0.000 0.500 0.188 1
Os1 Os 0.000 0.000 0.500 1
```



Arrangement B

The following is a DFT calculation (PBE-GGA) of a relaxed structure of KCr2Os.

Geometry as CIF:
```
data_KCr2Os
_chemical_formula_sum 'K2 Cr4 Os2'
_cell_length_a 6.348
_cell_length_b 7.725
_cell_length_c 2.862
_cell_angle_alpha 90.00
_cell_angle_beta 90.00
_cell_angle_gamma 90.00
_space_group_name_H-M_alt 'C m m m'
_space_group_IT_number 65
_space_group_name_Hall '-C 2 2'
loop_
_atom_site_label
_atom_site_type_symbol
_atom_site_fract_x
_atom_site_fract_y
_atom_site_fract_z
_atom_site_occupancy
K1 K 0.000 0.000 0.000 1
Cr1 Cr 0.250 0.250 0.500 1
Os1 Os 0.000 0.500 0.000 1
```



Arrangement C

The following is a DFT calculation (PBE-GGA) of a relaxed structure of KCr2Os.

Geometry as CIF:
```
data_KCr2Os
_chemical_formula_sum 'K1 Cr2 Os1'
_cell_length_a 2.847
_cell_length_b 3.772
_cell_length_c 7.590
_cell_angle_alpha 90.00
_cell_angle_beta 90.00
_cell_angle_gamma 90.00
_space_group_name_H-M_alt 'P m m m'
_space_group_IT_number 47
loop_
_space_group_symop_operation_xyz
'x,y,z'
'-x,-y,-z'
'-x,-y,z'
'x,y,-z'
'x,-y,-z'
'-x,y,z'
'-x,y,-z'
'x,-y,z'
loop_
_atom_site_label
_atom_site_type_symbol
_atom_site_fract_x
_atom_site_fract_y
_atom_site_fract_z
_atom_site_occupancy
K1 K 0.000 0.000 0.000 1
Cr1 Cr 0.500 0.500 0.367 1
Os1 Os 0.000 0.000 0.500 1
```



Name the most stable of them. arrangement C.



Arrangement A

The following is a DFT calculation (PBE-GGA) of a relaxed structure of KCr2Os.

Geometry as CIF:
```
data_KCr2Os
_chemical_formula_sum 'K4 Cr8 Os4'
_cell_length_a 5.679
_cell_length_b 5.679
_cell_length_c 15.245
_cell_angle_alpha 90.00
_cell_angle_beta 90.00
_cell_angle_gamma 90.00
_space_group_name_H-M_alt 'I 41/a m d'
_space_group_IT_number 141
loop_
_space_group_symop_operation_xyz
'x,y,z'
'-x,-y,-z'
'-y+1/4,x+3/4,z+1/4'
'y+1/4,-x+3/4,-z+1/4'
'-x+1/2,-y,z+1/2'
'x+1/2,y,-z+1/2'
'y+1/4,-x+1/4,z+3/4'
'-y+1/4,x+1/4,-z+3/4'
'x,-y,-z'
'-x,y,z'
'-y+1/4,-x+1/4,-z+3/4'
'y+1/4,x+1/4,z+3/4'
'-x+1/2,y,-z+1/2'
'x+1/2,-y,z+1/2'
'y+1/4,x+3/4,-z+1/4'
'-y+1/4,-x+3/4,z+1/4'
'x+1/2,y+1/2,z+1/2'
'-x+1/2,-y+1/2,-z+1/2'
'-y+3/4,x+1/4,z+3/4'
'y+3/4,-x+1/4,-z+3/4'
'-x,-y+1/2,z'
'x,y+1/2,-z'
'y+3/4,-x+3/4,z+1/4'
'-y+3/4,x+3/4,-z+1/4'
'x+1/2,-y+1/2,-z+1/2'
'-x+1/2,y+1/2,z+1/2'
'-y+3/4,-x+3/4,-z+1/4'
'y+3/4,x+3/4,z+1/4'
'-x,y+1/2,-z'
'x,-y+1/2,z'
'y+3/4,x+1/4,-z+3/4'
'-y+3/4,-x+1/4,z+3/4'
loop_
_atom_site_label
_atom_site_type_symbol
_atom_site_fract_x
_atom_site_fract_y
_atom_site_fract_z
_atom_site_occupancy
K1 K 0.000 0.250 0.375 1
Cr1 Cr 0.000 0.000 0.000 1
Os1 Os 0.000 0.250 0.875 1
```



Arrangement B

The following is a DFT calculation (PBE-GGA) of a relaxed structure of KCr2Os.

Geometry as CIF:
```
data_KCr2Os
_chemical_formula_sum 'K1 Cr2 Os1'
_cell_length_a 2.965
_cell_length_b 4.669
_cell_length_c 5.166
_cell_angle_alpha 90.00
_cell_angle_beta 90.00
_cell_angle_gamma 90.00
_space_group_name_H-M_alt 'P m m m'
_space_group_IT_number 47
loop_
_space_group_symop_operation_xyz
'x,y,z'
'-x,-y,-z'
'-x,-y,z'
'x,y,-z'
'x,-y,-z'
'-x,y,z'
'-x,y,-z'
'x,-y,z'
loop_
_atom_site_label
_atom_site_type_symbol
_atom_site_fract_x
_atom_site_fract_y
_atom_site_fract_z
_atom_site_occupancy
K1 K 0.000 0.000 0.000 1
Cr1 Cr 0.000 0.500 0.500 1
Cr2 Cr 0.500 0.500 0.000 1
Os1 Os 0.500 0.000 0.500 1
```



Name the most stable of them. arrangement A.



Arrangement A

The following is a DFT calculation (PBE-GGA) of a relaxed structure of KCr3Os.

Geometry as CIF:
```
data_KCr3Os
_chemical_formula_sum 'K1 Cr3 Os1'
_cell_length_a 4.880
_cell_length_b 4.880
_cell_length_c 4.880
_cell_angle_alpha 90.00
_cell_angle_beta 90.00
_cell_angle_gamma 90.00
_space_group_name_H-M_alt 'P m -3 m'
_space_group_IT_number 221
_space_group_name_Hall '-P 4 2 3'
loop_
_atom_site_label
_atom_site_type_symbol
_atom_site_fract_x
_atom_site_fract_y
_atom_site_fract_z
_atom_site_occupancy
K1 K 0.000 0.000 0.000 1
Cr1 Cr 0.000 0.500 0.500 1
Os1 Os 0.500 0.500 0.500 1
```



Arrangement B

The following is a DFT calculation (PBE-GGA) of a relaxed structure of KCr3Os.

Geometry as CIF:
```
data_KCr3Os
_chemical_formula_sum 'K1 Cr3 Os1'
_cell_length_a 4.131
_cell_length_b 4.131
_cell_length_c 4.131
_cell_angle_alpha 90.00
_cell_angle_beta 90.00
_cell_angle_gamma 90.00
_space_group_name_H-M_alt 'P m -3 m'
_space_group_IT_number 221
_space_group_name_Hall '-P 4 2 3'
loop_
_atom_site_label
_atom_site_type_symbol
_atom_site_fract_x
_atom_site_fract_y
_atom_site_fract_z
_atom_site_occupancy
K1 K 0.000 0.000 0.000 1
Cr1 Cr 0.000 0.000 0.500 1
Os1 Os 0.500 0.500 0.500 1
```



Name the most stable of them. arrangement A.



Arrangement A

The following is a DFT calculation (PBE-GGA) of a relaxed structure of KCrOs3.

Geometry as CIF:
```
data_KCrOs3
_chemical_formula_sum 'K1 Cr1 Os3'
_cell_length_a 4.581
_cell_length_b 4.581
_cell_length_c 4.581
_cell_angle_alpha 90.00
_cell_angle_beta 90.00
_cell_angle_gamma 90.00
_space_group_name_H-M_alt 'P m -3 m'
_space_group_IT_number 221
_space_group_name_Hall '-P 4 2 3'
loop_
_atom_site_label
_atom_site_type_symbol
_atom_site_fract_x
_atom_site_fract_y
_atom_site_fract_z
_atom_site_occupancy
K1 K 0.000 0.000 0.000 1
Cr1 Cr 0.500 0.500 0.500 1
Os1 Os 0.000 0.500 0.500 1
```



Arrangement B

The following is a DFT calculation (PBE-GGA) of a relaxed structure of KCrOs3.

Geometry as CIF:
```
data_KCrOs3
_chemical_formula_sum 'K1 Cr1 Os3'
_cell_length_a 4.542
_cell_length_b 4.542
_cell_length_c 4.542
_cell_angle_alpha 90.00
_cell_angle_beta 90.00
_cell_angle_gamma 90.00
_space_group_name_H-M_alt 'P m -3 m'
_space_group_IT_number 221
_space_group_name_Hall '-P 4 2 3'
loop_
_atom_site_label
_atom_site_type_symbol
_atom_site_fract_x
_atom_site_fract_y
_atom_site_fract_z
_atom_site_occupancy
K1 K 0.000 0.000 0.000 1
Cr1 Cr 0.500 0.500 0.500 1
Os1 Os 0.000 0.000 0.500 1
```



Name the most stable of them. arrangement A.



Arrangement A

The following is a DFT calculation (PBE-GGA) of a relaxed structure of KCrP2.

Geometry as CIF:
```
data_KCrP2
_chemical_formula_sum 'K4 Cr4 P8'
_cell_length_a 6.809
_cell_length_b 6.809
_cell_length_c 6.809
_cell_angle_alpha 90.00
_cell_angle_beta 90.00
_cell_angle_gamma 90.00
_space_group_name_H-M_alt 'F -4 3 m'
_space_group_IT_number 216
_space_group_name_Hall 'F -4 2 3'
loop_
_atom_site_label
_atom_site_type_symbol
_atom_site_fract_x
_atom_site_fract_y
_atom_site_fract_z
_atom_site_occupancy
K1 K 0.000 0.000 0.000 1
Cr1 Cr 0.250 0.250 0.750 1
P1 P 0.000 0.000 0.500 1
P2 P 0.250 0.250 0.250 1
```



Arrangement B

The following is a DFT calculation (PBE-GGA) of a relaxed structure of KCrP2.

Geometry as CIF:
```
data_KCrP2
_chemical_formula_sum 'K3 Cr3 P6'
_cell_length_a 3.1810
_cell_length_b 3.1810
_cell_length_c 24.6150
_cell_angle_alpha 90.00
_cell_angle_beta 90.00
_cell_angle_gamma 120.00
_space_group_name_H-M_alt 'R -3 m'
_space_group_IT_number 166
_space_group_name_Hall '-R 3 2"'
loop_
_atom_site_label
_atom_site_type_symbol
_atom_site_fract_x
_atom_site_fract_y
_atom_site_fract_z
_atom_site_occupancy
K1 K 0.0000 0.0000 0.0000 1
Cr1 Cr 0.0000 0.0000 0.5000 1
P1 P 0.0000 0.0000 0.2274 1
```



Arrangement C

The following is a DFT calculation (PBE-GGA) of a relaxed structure of KCrP2.

Geometry as CIF:
```
data_KCrP2
_chemical_formula_sum 'K2 Cr2 P4'
_cell_length_a 2.910
_cell_length_b 3.369
_cell_length_c 15.424
_cell_angle_alpha 90.00
_cell_angle_beta 90.00
_cell_angle_gamma 90.00
_space_group_name_H-M_alt 'I m m 2'
_space_group_IT_number 44
loop_
_space_group_symop_operation_xyz
'x,y,z'
'-x,-y,z'
'-x,y,z'
'x,-y,z'
'x+1/2,y+1/2,z+1/2'
'-x+1/2,-y+1/2,z+1/2'
'-x+1/2,y+1/2,z+1/2'
'x+1/2,-y+1/2,z+1/2'
loop_
_atom_site_label
_atom_site_type_symbol
_atom_site_fract_x
_atom_site_fract_y
_atom_site_fract_z
_atom_site_occupancy
K1 K 0.000 0.000 0.000 1
Cr1 Cr 0.000 0.500 0.262 1
P1 P 0.000 0.000 0.650 1
P2 P 0.000 0.500 0.822 1
```



Name the most stable of them. arrangement B.



Arrangement A

The following is a DFT calculation (PBE-GGA) of a relaxed structure of KCrP2.

Geometry as CIF:
```
data_KCrP2
_chemical_formula_sum 'K1 Cr1 P2'
_cell_length_a 3.168
_cell_length_b 3.168
_cell_length_c 7.615
_cell_angle_alpha 90.00
_cell_angle_beta 90.00
_cell_angle_gamma 90.00
_space_group_name_H-M_alt 'P 4 m m'
_space_group_IT_number 99
loop_
_space_group_symop_operation_xyz
'x,y,z'
'-y,x,z'
'-x,-y,z'
'y,-x,z'
'-x,y,z'
'y,x,z'
'x,-y,z'
'-y,-x,z'
loop_
_atom_site_label
_atom_site_type_symbol
_atom_site_fract_x
_atom_site_fract_y
_atom_site_fract_z
_atom_site_occupancy
K1 K 0.000 0.000 0.000 1
Cr1 Cr 0.500 0.500 0.602 1
P1 P 0.000 0.000 0.540 1
P2 P 0.500 0.500 0.305 1
```



Arrangement B

The following is a DFT calculation (PBE-GGA) of a relaxed structure of KCrP2.

Geometry as CIF:
```
data_KCrP2
_chemical_formula_sum 'K2 Cr2 P4'
_cell_length_a 4.060
_cell_length_b 4.060
_cell_length_c 9.463
_cell_angle_alpha 90.00
_cell_angle_beta 90.00
_cell_angle_gamma 90.00
_space_group_name_H-M_alt 'I -4 m 2'
_space_group_IT_number 119
_space_group_name_Hall 'I -4 -2'
loop_
_atom_site_label
_atom_site_type_symbol
_atom_site_fract_x
_atom_site_fract_y
_atom_site_fract_z
_atom_site_occupancy
K1 K 0.000 0.000 0.000 1
Cr1 Cr 0.000 0.500 0.250 1
P1 P 0.000 0.000 0.500 1
P2 P 0.000 0.500 0.750 1
```



Name the most stable of them. arrangement A.